one | IrBrN2F | PBE | relaxed

Output
magnetic moment = 1.08 μB per formula unit
D(E_F) = 5.45 states/eV per cell

Cell lengths 4.1373, 4.1373, 3.8814 Å; angles 90.00, 90.00, 90.00 degrees
With the nearest neighbours (Å) after each atom.
Element x y z (fractional)
Ir: 0.0000 0.0000 0.0000  8 N 2.84, 4 F 2.93
Br: 0.5000 0.5000 0.5000  2 F 1.94, 4 N 2.07
N: 0.0000 0.5000 0.5000  2 Br 2.07
N: 0.5000 0.0000 0.5000  2 Br 2.07
F: 0.5000 0.5000 0.0000  2 Br 1.94

---

two | IrBrN2F | PBE | relaxed

Output
magnetic moment = 0.53 μB per formula unit
D(E_F) = 2.64 states/eV per cell

Cell lengths 3.9065, 3.9065, 4.2547 Å; angles 90.00, 90.00, 90.00 degrees
With the nearest neighbours (Å) after each atom.
Element x y z (fractional)
Ir: 0.0000 0.0000 0.0000  4 N 1.95, 2 F 2.13
Br: 0.5000 0.5000 0.5000  4 F 2.76, 8 N 2.89
N: 0.0000 0.5000 0.0000  2 Ir 1.95
N: 0.5000 0.0000 0.0000  2 Ir 1.95
F: 0.0000 0.0000 0.5000  2 Ir 2.13

---

Relative energy of each structure, in meV per atom: one 1631; two 0.

---

one | IrBrOF2 | PBE | relaxed

Output
magnetic moment = 1.07 μB per formula unit
D(E_F) = 4.01 states/eV per cell

Cell lengths 4.3937, 4.3937, 3.7254 Å; angles 90.00, 90.00, 90.00 degrees
With the nearest neighbours (Å) after each atom.
Element x y z (fractional)
Ir: 0.0000 0.0000 0.0000  2 O 1.86
Br: 0.5000 0.5000 0.5000  8 F 2.88, 4 O 3.11
O: 0.0000 0.0000 0.5000  2 Ir 1.86
F: 0.0000 0.5000 0.0000  2 Ir 2.20
F: 0.5000 0.0000 0.0000  2 Ir 2.20

---

two | IrBrOF2 | PBE | relaxed

Output
magnetic moment = 3.02 μB per formula unit
D(E_F) = 7.10 states/eV per cell

Cell lengths 4.8786, 4.8786, 3.6110 Å; angles 90.00, 90.00, 90.00 degrees
With the nearest neighbours (Å) after each atom.
Element x y z (fractional)
Ir: 0.0000 0.0000 0.0000  8 F 3.03
Br: 0.5000 0.5000 0.5000  2 O 1.81
O: 0.5000 0.5000 0.0000  2 Br 1.81
F: 0.0000 0.5000 0.5000  2 Br 2.44
F: 0.5000 0.0000 0.5000  2 Br 2.44

---

Relative energy of each structure, in meV per atom: one 0; two 1291.

---

one | IrSeBr2F | PBE | relaxed

Output
magnetic moment = 3.45 μB per formula unit
D(E_F) = 7.98 states/eV per cell

Cell lengths 5.4678, 5.4678, 3.8212 Å; angles 90.00, 90.00, 90.00 degrees
With the nearest neighbours (Å) after each atom.
Element x y z (fractional)
Ir: 0.0000 0.0000 0.0000  8 Br 3.34
Se: 0.5000 0.5000 0.0000  2 F 1.91
Br: 0.0000 0.5000 0.5000  2 F 2.73
Br: 0.5000 0.0000 0.5000  2 F 2.73
F: 0.5000 0.5000 0.5000  2 Se 1.91

---

two | IrSeBr2F | PBE | relaxed

Output
magnetic moment = 1.00 μB per formula unit
D(E_F) = 8.19 states/eV per cell

Cell lengths 5.1790, 5.1790, 4.6659 Å; angles 90.00, 90.00, 90.00 degrees
With the nearest neighbours (Å) after each atom.
Element x y z (fractional)
Ir: 0.0000 0.0000 0.0000  2 Se 2.33, 4 Br 2.59
Se: 0.0000 0.0000 0.5000  2 Ir 2.33
Br: 0.0000 0.5000 0.0000  2 Ir 2.59
Br: 0.5000 0.0000 0.0000  2 Ir 2.59
F: 0.5000 0.5000 0.5000  8 Br 3.49, 4 Se 3.66

---

Relative energy of each structure, in meV per atom: one 777; two 0.

---

one | IrSe2BrF | PBE | relaxed

Output
magnetic moment = 0.45 μB per formula unit
D(E_F) = 7.02 states/eV per cell

Cell lengths 4.7990, 4.7990, 5.2346 Å; angles 90.00, 90.00, 90.00 degrees
With the nearest neighbours (Å) after each atom.
Element x y z (fractional)
Ir: 0.0000 0.0000 0.0000  4 Se 2.40, 2 Br 2.62
Se: 0.0000 0.5000 0.0000  2 Ir 2.40
Se: 0.5000 0.0000 0.0000  2 Ir 2.40
Br: 0.0000 0.0000 0.5000  2 Ir 2.62
F: 0.5000 0.5000 0.5000  4 Br 3.39, 8 Se 3.55

---

two | IrSe2BrF | PBE | relaxed

Output
magnetic moment = 2.18 μB per formula unit
D(E_F) = 6.51 states/eV per cell

Cell lengths 4.2620, 4.2620, 5.7199 Å; angles 90.00, 90.00, 90.00 degrees
With the nearest neighbours (Å) after each atom.
Element x y z (fractional)
Ir: 0.0000 0.0000 0.0000  4 Br 3.01
Se: 0.0000 0.5000 0.5000  2 F 2.13
Se: 0.5000 0.0000 0.5000  2 F 2.13
Br: 0.5000 0.5000 0.0000  2 F 2.86, 4 Ir 3.01
F: 0.5000 0.5000 0.5000  4 Se 2.13

---

Relative energy of each structure, in meV per atom: one 0; two 721.

---

one | KBrF3 | PBE | relaxed

Output
magnetic moment = 3.00 μB per formula unit
D(E_F) = 12.38 states/eV per cell

Cell lengths 4.9195, 4.9195, 4.9195 Å; angles 90.00, 90.00, 90.00 degrees
With the nearest neighbours (Å) after each atom.
Element x y z (fractional)
K: 0.0000 0.0000 0.0000  6 F 2.46
Br: 0.5000 0.5000 0.5000  12 F 3.48
F: 0.0000 0.0000 0.5000  2 K 2.46
F: 0.0000 0.5000 0.0000  2 K 2.46
F: 0.5000 0.0000 0.0000  2 K 2.46

---

two | KBrF3 | PBE | relaxed

Output
magnetic moment = 0.00 μB per formula unit
D(E_F) = 1.43 states/eV per cell

Cell lengths 4.5796, 4.5796, 4.5796 Å; angles 90.00, 90.00, 90.00 degrees
With the nearest neighbours (Å) after each atom.
Element x y z (fractional)
K: 0.0000 0.0000 0.0000  12 F 3.24
Br: 0.5000 0.5000 0.5000  6 F 2.29
F: 0.0000 0.5000 0.5000  2 Br 2.29
F: 0.5000 0.0000 0.5000  2 Br 2.29
F: 0.5000 0.5000 0.0000  2 Br 2.29

---

three | KBrF3 | PBE | relaxed

Output
magnetic moment = 3.00 μB per formula unit

Cell lengths 5.2749, 5.2749, 5.2749 Å; angles 85.87, 85.87, 85.87 degrees
With the nearest neighbours (Å) after each atom.
Element x y z (fractional)
K: 0.0000 0.0000 0.0000  6 F 2.62-2.77
Br: 0.6511 0.6511 0.6511  3 F 2.20
F: 0.4962 0.9259 0.9259  1 Br 2.20
F: 0.9259 0.4962 0.9259  1 Br 2.20
F: 0.9259 0.9259 0.4962  1 Br 2.20

---

Relative energy of each structure, in meV per atom: one 634; two 0; three 158.

---

one | K2BrF | PBE | relaxed

Output
magnetic moment = 0.00 μB per formula unit
D(E_F) = 0.00 states/eV per cell

Cell lengths 7.5470, 7.5470, 7.5470 Å; angles 32.62, 32.62, 32.62 degrees
With the nearest neighbours (Å) after each atom.
Element x y z (fractional)
K: 0.2345 0.2345 0.2345  3 F 2.85
K: 0.7655 0.7655 0.7655  3 F 2.85
Br: 0.0000 0.0000 0.0000  6 K 3.24
F: 0.5000 0.5000 0.5000  6 K 2.85

---

two | K2BrF | PBE | relaxed

Output
magnetic moment = 0.00 μB per formula unit
D(E_F) = 0.00 states/eV per cell

Cell lengths 4.9230, 4.9230, 9.8282 Å; angles 90.00, 90.00, 90.00 degrees
With the nearest neighbours (Å) after each atom.
Element x y z (fractional)
K: 0.2500 0.2500 0.1561  1 F 2.53
K: 0.2500 0.7500 0.5000  4 F 2.60
K: 0.7500 0.2500 0.5000  4 F 2.60
K: 0.7500 0.7500 0.8439  1 F 2.53
Br: 0.2500 0.2500 0.8172  5 K 3.33-3.49
Br: 0.7500 0.7500 0.1828  5 K 3.33-3.49
F: 0.2500 0.2500 0.4140  5 K 2.53-2.60
F: 0.7500 0.7500 0.5860  5 K 2.53-2.60

---

three | K2BrF | PBE | relaxed

Output
magnetic moment = 0.00 μB per formula unit
D(E_F) = 0.00 states/eV per cell

Cell lengths 5.2945, 5.2945, 5.2945 Å; angles 60.00, 60.00, 60.00 degrees
With the nearest neighbours (Å) after each atom.
Element x y z (fractional)
K: 0.2500 0.2500 0.2500  4 F 3.24, 4 Br 3.24
K: 0.7500 0.7500 0.7500  4 F 3.24, 4 Br 3.24
Br: 0.0000 0.0000 0.0000  8 K 3.24
F: 0.5000 0.5000 0.5000  8 K 3.24

---

Relative energy of each structure, in meV per atom: one 38; two 0; three 190.